First-principles (PBE) data for Y2CdIr after structural relaxation, as listed in Alexandria via LeMat-Bulk.

Values from the calculation:
final energy: -24.45 eV/f.u.
SG: Imm2

a b c (Å): 6.688 6.688 4.796
angles (deg): 68.95 68.95 29.63
Fractional positions:
Y: 0.947 0.947 0.053
Y: 0.740 0.740 0.760
Cd: 0.557 0.557 0.443
Ir: 0.256 0.256 0.244

First-principles (PBE) data for YCd2Ir2 after structural relaxation, as listed in Alexandria via LeMat-Bulk.

Values from the calculation:
offset from the most stable computed form: 87.5 meV/atom
final energy: -26.52 eV/f.u.
SG: P4/mbm

a b c (Å): 7.595 7.595 3.402
angles (deg): 90.00 90.00 90.00
Fractional positions:
Ir: 0.635 0.135 0.000
Ir: 0.365 0.865 0.000
Ir: 0.865 0.635 0.000
Ir: 0.135 0.365 0.000
Y: 0.000 0.000 0.000
Y: 0.500 0.500 0.000
Cd: 0.839 0.339 0.500
Cd: 0.161 0.661 0.500
Cd: 0.339 0.161 0.500
Cd: 0.661 0.839 0.500

First-principles (PBE) data for Y4CdIr after structural relaxation, as listed in Alexandria via LeMat-Bulk.

Values from the calculation:
offset from the most stable computed form: 0.0 meV/atom
final energy: -38.74 eV/f.u.
SG: F-43m

a b c (Å): 9.667 9.667 9.667
angles (deg): 60.00 60.00 60.00
Fractional positions:
Ir: 0.142 0.142 0.575
Ir: 0.142 0.142 0.142
Ir: 0.142 0.575 0.142
Ir: 0.575 0.142 0.142
Y: 0.810 0.190 0.190
Y: 0.190 0.810 0.190
Y: 0.938 0.938 0.562
Y: 0.938 0.562 0.562
Y: 0.349 0.952 0.349
Y: 0.562 0.562 0.938
Y: 0.952 0.349 0.349
Y: 0.810 0.810 0.190
Y: 0.349 0.349 0.952
Y: 0.190 0.190 0.810
Y: 0.349 0.349 0.349
Y: 0.810 0.190 0.810
Y: 0.938 0.562 0.938
Y: 0.190 0.810 0.810
Y: 0.562 0.938 0.938
Y: 0.562 0.938 0.562
Cd: 0.581 0.581 0.258
Cd: 0.581 0.581 0.581
Cd: 0.258 0.581 0.581
Cd: 0.581 0.258 0.581

First-principles (PBE) data for Y4CdIr after structural relaxation, as listed in Alexandria via LeMat-Bulk.

Values from the calculation:
offset from the most stable computed form: 75.7 meV/atom
final energy: -38.29 eV/f.u.
SG: C2/c

a b c (Å): 6.100 9.136 7.842
angles (deg): 115.75 99.62 112.39
Fractional positions:
Ir: 0.750 0.000 0.001
Ir: 0.250 0.000 0.999
Cd: 0.374 0.624 0.248
Cd: 0.626 0.376 0.752
Y: 0.386 0.933 0.655
Y: 0.093 0.204 0.843
Y: 0.614 0.067 0.345
Y: 0.231 0.278 0.345
Y: 0.769 0.722 0.655
Y: 0.907 0.796 0.157
Y: 0.751 0.361 0.157
Y: 0.249 0.639 0.843

First-principles (PBE) data for Y3CdIr after structural relaxation, as listed in Alexandria via LeMat-Bulk.

Values from the calculation:
offset from the most stable computed form: 0.0 meV/atom
final energy: -31.79 eV/f.u.
SG: P-1

a b c (Å): 5.817 6.424 8.865
angles (deg): 111.02 78.63 123.42
Fractional positions:
Cd: 0.499 0.788 0.498
Cd: 0.501 0.212 0.502
Ir: 0.000 0.750 0.000
Ir: 0.000 0.250 0.000
Y: 0.124 0.201 0.280
Y: 0.500 0.201 0.901
Y: 0.877 0.578 0.280
Y: 0.123 0.422 0.720
Y: 0.500 0.799 0.099
Y: 0.876 0.799 0.720

First-principles (PBE) data for Y2CdIr after structural relaxation, as listed in Alexandria via LeMat-Bulk.

Values from the calculation:
final energy: -25.13 eV/f.u.
SG: Pmmm

a b c (Å): 3.534 3.522 8.280
angles (deg): 64.86 90.00 90.00
Fractional positions:
Cd: 0.500 0.250 0.250
Y: 0.000 0.470 0.531
Y: 0.000 0.030 0.969
Ir: 0.500 0.750 0.750

Computed E_form, in the same sequence as the records: -1.742 -0.507 -3.111 -2.657 -2.626 -2.424 eV per formula unit.
Computed total magnetic moment, in the same sequence as the records: 0.0 0.0 0.0 0.0 0.0 0.0 μB per cell.